(1)
## ErPd2Au6 (PBE)

Data for crystalline ErPd2Au6 at its relaxed geometry.

## Properties
Fermi-level density of states, states/eV per atom: 0.286
Relative energy among the computed polymorphs, meV/atom: 6
Total DFT energy (no corrections), eV per atom: -4.2315
Total magnetic moment, μB/f.u.: 0.000
Formation energy, eV/atom: -0.39

abc: 9.443 4.137 8.819
angles: 90.00 108.91 90.00
Space group C2/m (No. 12)
Asymmetric unit:
Er (0.000, 0.000, 0.000)
Pd (0.166, 0.500, 0.223)
Au (0.002, 0.000, 0.668)
Au (0.166, 0.500, 0.551)
Au (0.168, 0.500, 0.884)


(2)
## LaCu2Si2 (PBE)

Data for crystalline LaCu2Si2 at its relaxed geometry.

## Properties
Fermi-level density of states, states/eV per atom: 0.449
Total DFT energy (no corrections), eV per atom: -5.2376
Total magnetic moment, μB/f.u.: 0.000
Formation energy from raw total energies, kcal/mol of atoms: -10.249

abc: 4.172 4.172 10.002
angles: 90.00 90.00 90.00
Space group I4/mmm (No. 139)
Asymmetric unit:
La (0.000, 0.000, 0.000)
Cu (0.000, 0.000, 0.372)
Si (0.000, 0.500, 0.250)


(3)
## LaReTe2I (PBE)

Data for crystalline LaReTe2I at its relaxed geometry.

## Properties
Fermi-level density of states, states/eV per atom: 0.809
Total DFT energy (no corrections), eV per atom: -4.9833
Total magnetic moment, μB/f.u.: 1.991
Formation energy from raw total energies, kcal/mol of atoms: 1.349

abc: 5.360 5.360 5.380
angles: 90.00 90.00 90.00
Space group P4/mmm (No. 123)
Asymmetric unit:
La (0.000, 0.000, 0.000)
Re (0.500, 0.500, 0.500)
Te (0.000, 0.500, 0.500)
I (0.500, 0.500, 0.000)


(4)
## La8IrPt3I4 (PBE)

Data for crystalline La8IrPt3I4 at its relaxed geometry.

## Properties
Fermi-level density of states, states/eV per atom: 0.754
Total DFT energy (no corrections), eV per atom: -5.7373
Total magnetic moment, μB/f.u.: 0.000
Formation energy from raw total energies, kcal/mol of atoms: -27.662

abc: 14.938 8.627 9.623
angles: 90.00 121.19 90.00
Space group C2/m (No. 12)
Asymmetric unit:
La (0.019, 0.245, 0.312)
La (0.226, 0.000, 0.688)
La (0.229, 0.500, 0.687)
Ir (0.000, 0.000, 0.500)
Pt (0.000, 0.500, 0.500)
Pt (0.250, 0.250, 0.500)
I (0.000, 0.000, 0.000)
I (0.000, 0.500, 0.000)
I (0.250, 0.250, 0.000)


(5)
## Tb10Ho4Zr (PBE)

Data for crystalline Tb10Ho4Zr at its relaxed geometry.

## Properties
Fermi-level density of states, states/eV per atom: 1.376
Total DFT energy (no corrections), eV per atom: -4.6451
Total magnetic moment, μB/f.u.: 0.000
Formation energy, eV/atom: 0.23

abc: 11.177 11.177 7.733
angles: 90.00 90.00 90.00
Space group I4/mmm (No. 139)
Asymmetric unit:
Tb (0.000, 0.209, 0.213)
Tb (0.000, 0.500, 0.250)
Ho (0.228, 0.228, 0.500)
Zr (0.000, 0.000, 0.500)


(6)
## CeNpB4 (PBE)

Data for crystalline CeNpB4 at its relaxed geometry.

## Properties
Fermi-level density of states, states/eV per atom: 1.119
Relative energy among the computed polymorphs, meV/atom: 0
Total DFT energy (no corrections), eV per atom: -7.8983
Total magnetic moment, μB/f.u.: 0.705
Formation energy, eV/atom: -0.30

abc: 6.028 11.691 4.082
angles: 90.00 90.00 90.00
Space group Pbam (No. 55)
Asymmetric unit:
Ce (0.119, 0.156, 0.000)
Np (0.121, 0.422, 0.000)
B (0.022, 0.694, 0.500)
B (0.123, 0.551, 0.500)
B (0.131, 0.969, 0.500)
B (0.207, 0.813, 0.500)


(7)
## AlZn2Tc (PBE)

Data for crystalline AlZn2Tc at its relaxed geometry.

## Properties
Fermi-level density of states, states/eV per atom: 0.480
Total DFT energy (no corrections), eV per atom: -4.2008
Total magnetic moment, μB/f.u.: 0.000
Formation energy, eV/atom: -0.04

abc: 9.084 2.694 4.838
angles: 90.00 98.26 90.00
Space group Cm (No. 8)
Asymmetric unit:
Al (0.000, 0.000, 0.000)
Zn (0.244, 0.000, 0.715)
Zn (0.489, 0.000, 0.488)
Tc (0.244, 0.500, 0.214)


(8)
## SbTePd6 (PBE)

Data for crystalline SbTePd6 at its relaxed geometry.

## Properties
Fermi-level density of states, states/eV per atom: 0.494
Total DFT energy (no corrections), eV per atom: -5.0293
Total magnetic moment, μB/f.u.: 0.000
Formation energy from raw total energies, kcal/mol of atoms: -5.226

abc: 7.661 5.503 7.522
angles: 90.00 108.95 90.00
Space group C2/m (No. 12)
Asymmetric unit:
Sb (0.000, 0.000, 0.000)
Te (0.000, 0.500, 0.500)
Pd (0.147, 0.000, 0.437)
Pd (0.187, 0.245, 0.804)


(9)
## La6TlRu2Br3 (PBE)

Data for crystalline La6TlRu2Br3 at its relaxed geometry.

## Properties
Fermi-level density of states, states/eV per atom: 0.522
Total DFT energy (no corrections), eV per atom: -5.5360
Total magnetic moment, μB/f.u.: 0.000
Formation energy from raw total energies, kcal/mol of atoms: -21.006

abc: 20.510 4.166 9.474
angles: 90.00 107.10 90.00
Space group C2/m (No. 12)
Asymmetric unit:
La (0.034, 0.000, 0.273)
La (0.166, 0.500, 0.136)
La (0.184, 0.500, 0.571)
Tl (0.000, 0.500, 0.000)
Ru (0.169, 0.000, 0.346)
Br (0.000, 0.500, 0.500)
Br (0.171, 0.000, 0.844)


(10)
## Nd8Mg2Au (PBE)

Data for crystalline Nd8Mg2Au at its relaxed geometry.

## Properties
Fermi-level density of states, states/eV per atom: 1.187
Total DFT energy (no corrections), eV per atom: -4.1562
Total magnetic moment, μB/f.u.: 0.000
Formation energy, eV/atom: -0.10

abc: 18.709 5.453 7.068
angles: 90.00 104.17 90.00
Space group C2/m (No. 12)
Asymmetric unit:
Nd (0.019, 0.000, 0.269)
Nd (0.093, 0.500, 0.947)
Nd (0.155, 0.500, 0.453)
Nd (0.199, 0.000, 0.784)
Mg (0.189, 0.000, 0.227)
Au (0.000, 0.500, 0.500)


(11)
## Rb2InHg8 (PBE)

Data for crystalline Rb2InHg8 at its relaxed geometry.

## Properties
Fermi-level density of states, states/eV per atom: 0.348
Relative energy among the computed polymorphs, meV/atom: 6
Total DFT energy (no corrections), eV per atom: -0.7848
Total magnetic moment, μB/f.u.: 0.000
Formation energy, eV/atom: -0.14

abc: 5.114 5.114 14.380
angles: 90.00 90.00 90.00
Space group P4/mmm (No. 123)
Asymmetric unit:
Rb (0.000, 0.000, 0.189)
In (0.000, 0.000, 0.500)
Hg (0.000, 0.500, 0.000)
Hg (0.000, 0.500, 0.379)
Hg (0.500, 0.500, 0.245)


(12)
## Ca2Ga3Rh (PBE)

Data for crystalline Ca2Ga3Rh at its relaxed geometry.

## Properties
Fermi-level density of states, states/eV per atom: 0.527
Total DFT energy (no corrections), eV per atom: -3.9790
Total magnetic moment, μB/f.u.: 0.000
Formation energy, eV/atom: -0.57

abc: 9.416 5.502 5.466
angles: 90.00 124.55 90.00
Space group C2/m (No. 12)
Asymmetric unit:
Ca (0.127, 0.000, 0.372)
Ga (0.000, 0.500, 0.500)
Ga (0.250, 0.250, 0.000)
Rh (0.000, 0.500, 0.000)